The following is a DFT calculation (GGA-PBE) of an optimized crystal structure of Nd9Dy2Ho.

Lattice parameters (Å, degrees): 5.153 5.153 15.458 90.00 90.00 90.00
Space group P4/mmm (No. 123)
Symmetry-distinct sites (fractional):
1 Nd 0.000 0.000 0.000 x1
2 Nd 0.000 0.000 0.333 x2
3 Nd 0.000 0.500 0.166 x4
4 Nd 0.000 0.500 0.500 x2
5 Dy 0.500 0.500 0.333 x2
6 Ho 0.500 0.500 0.000 x1

Summary:
formation enthalpy at 0 K	15	meV/atom